The following is a GGA-PBE calculation of a geometry-optimized Ac8Zn2In structure, from Alexandria.

Computed properties:
Energy of formation (eV/atom): -0.12

Unit cell a=17.681 b=5.865 c=9.221 alpha=90.00 beta=119.52 gamma=90.00
Space group C2/m (No. 12)
Unique sites:
Ac 0.070 0.000 0.224
Ac 0.103 0.500 0.958
Ac 0.142 0.000 0.707
Ac 0.184 0.500 0.470
Zn 0.223 0.000 0.117
In 0.000 0.500 0.500

=====

The following is a GGA-PBE calculation of a geometry-optimized InAsSBr2 structure, from Alexandria.

Computed properties:
E_form (uncorrected) (eV per atom): 0.2350

Unit cell a=5.464 b=5.464 c=4.841 alpha=90.00 beta=90.00 gamma=90.00
Space group P4/mmm (No. 123)
Unique sites:
In 0.000 0.000 0.000
As 0.500 0.500 0.000
S 0.500 0.500 0.500
Br 0.000 0.500 0.500

=====

The following is a GGA-PBE calculation of a geometry-optimized BaSn2TeIr structure, from Alexandria.

Computed properties:
E_form (uncorrected) (eV per atom): -0.3516

Unit cell a=5.089 b=5.089 c=6.185 alpha=90.00 beta=90.00 gamma=90.00
Space group P4/mmm (No. 123)
Unique sites:
Ba 0.000 0.000 0.000
Sn 0.000 0.500 0.500
Te 0.500 0.500 0.000
Ir 0.500 0.500 0.500

=====

no.,total magnetization (μB per formula unit),ρ (g cm⁻³)
1,0.00,8.23
2,0.00,4.38
3,0.00,7.20